Entry a
This record from OQMD describes a relaxed structure of NdSiHO4. The functional is PBE.

Output
Its crystal system is orthorhombic. As for the calculated volume: 930.9 Å³ per cell. The value obtained for the size of the total moment is 0.0 Bohr magnetons per cell.

Lattice parameters (Å, degrees): 13.226 15.944 4.414 90.00 90.00 90.00
Atoms (fractional coordinates):
Nd  0.076  0.406  0.675
Nd  0.924  0.594  0.325
Nd  0.893  0.250  0.187
Nd  0.393  0.250  0.313
Nd  0.107  0.750  0.813
Nd  0.076  0.094  0.675
Nd  0.924  0.906  0.325
Nd  0.424  0.594  0.175
Nd  0.424  0.906  0.175
Nd  0.607  0.750  0.687
Nd  0.576  0.406  0.825
Nd  0.576  0.094  0.825
O  0.760  0.569  0.085
O  0.807  0.385  0.112
O  0.760  0.931  0.085
O  0.058  0.166  0.171
O  0.414  0.166  0.833
O  0.693  0.885  0.612
O  0.740  0.069  0.585
O  0.914  0.166  0.667
O  0.442  0.834  0.671
O  0.942  0.834  0.829
O  0.442  0.666  0.671
O  0.925  0.007  0.744
O  0.425  0.007  0.756
O  0.740  0.431  0.585
O  0.807  0.115  0.112
O  0.359  0.750  0.109
O  0.075  0.993  0.256
O  0.141  0.250  0.609
O  0.425  0.493  0.756
O  0.307  0.385  0.388
O  0.058  0.334  0.171
O  0.266  0.750  0.568
O  0.307  0.115  0.388
O  0.086  0.666  0.333
O  0.234  0.250  0.068
O  0.942  0.666  0.829
O  0.414  0.334  0.833
O  0.575  0.993  0.244
O  0.193  0.615  0.888
O  0.914  0.334  0.667
O  0.193  0.885  0.888
O  0.240  0.069  0.915
O  0.859  0.750  0.391
O  0.925  0.493  0.744
O  0.075  0.507  0.256
O  0.734  0.250  0.432
O  0.586  0.834  0.167
O  0.558  0.334  0.329
O  0.240  0.431  0.915
O  0.260  0.931  0.415
O  0.575  0.507  0.244
O  0.766  0.750  0.932
O  0.693  0.615  0.612
O  0.586  0.666  0.167
O  0.558  0.166  0.329
O  0.260  0.569  0.415
O  0.086  0.834  0.333
O  0.641  0.250  0.891
Si  0.155  0.586  0.221
Si  0.655  0.914  0.278
Si  0.845  0.414  0.779
Si  0.155  0.914  0.221
Si  0.375  0.750  0.744
Si  0.625  0.250  0.256
Si  0.655  0.586  0.278
Si  0.345  0.414  0.722
Si  0.345  0.086  0.722
Si  0.125  0.250  0.244
Si  0.845  0.086  0.779
Si  0.875  0.750  0.756
H  0.762  0.415  0.348
H  0.713  0.250  0.660
H  0.787  0.750  0.160
H  0.738  0.915  0.848
H  0.238  0.585  0.652
H  0.262  0.085  0.152
H  0.738  0.585  0.848
H  0.762  0.085  0.348
H  0.287  0.750  0.340
H  0.238  0.915  0.652
H  0.213  0.250  0.840
H  0.262  0.415  0.152

***

Entry b
This record from OQMD describes a relaxed structure of NdSiHO4. The functional is PBE.

Output
Its crystal system is trigonal. As for the calculated volume: 554.1 Å³ per cell. The value obtained for the size of the total moment is 0.0 Bohr magnetons per cell.

Lattice parameters (Å, degrees): 9.403 9.403 9.403 112.59 112.59 112.59
Atoms (fractional coordinates):
H  0.834  0.663  0.564
H  0.663  0.564  0.834
H  0.166  0.337  0.436
H  0.436  0.166  0.337
H  0.564  0.834  0.663
H  0.337  0.436  0.166
O  0.455  0.162  0.517
O  0.273  0.886  0.612
O  0.838  0.483  0.545
O  0.303  0.796  0.839
O  0.839  0.303  0.796
O  0.843  0.765  0.546
O  0.162  0.517  0.455
O  0.204  0.161  0.697
O  0.545  0.838  0.483
O  0.796  0.839  0.303
O  0.483  0.545  0.838
O  0.886  0.612  0.273
O  0.765  0.546  0.843
O  0.235  0.454  0.157
O  0.388  0.727  0.114
O  0.454  0.157  0.235
O  0.546  0.843  0.765
O  0.727  0.114  0.388
O  0.161  0.697  0.204
O  0.612  0.273  0.886
O  0.517  0.455  0.162
O  0.157  0.235  0.454
O  0.114  0.388  0.727
O  0.697  0.204  0.161
Nd  0.931  0.394  0.137
Nd  0.394  0.137  0.931
Nd  0.606  0.863  0.069
Nd  0.069  0.606  0.863
Nd  0.137  0.931  0.394
Nd  0.863  0.069  0.606
Si  0.258  0.351  0.696
Si  0.742  0.649  0.304
Si  0.649  0.304  0.742
Si  0.304  0.742  0.649
Si  0.696  0.258  0.351
Si  0.351  0.696  0.258

***

Most favorable structure: entry a. The second most favorable one is 40 meV per atom above it.

***

Entry a
This record from OQMD describes a relaxed structure of NdSiHO4. The functional is PBE.

Output
Its crystal system is monoclinic. As for the calculated volume: 153.3 Å³ per cell. The value obtained for the size of the total moment is 0.0 Bohr magnetons per cell.

Lattice parameters (Å, degrees): 5.015 6.736 4.571 90.00 96.95 90.00
Atoms (fractional coordinates):
O  0.297  0.750  0.796
O  0.887  0.440  0.704
O  0.113  0.940  0.296
O  0.113  0.560  0.296
O  0.703  0.250  0.204
O  0.887  0.060  0.704
O  0.606  0.750  0.375
O  0.394  0.250  0.625
Si  0.298  0.750  0.441
Si  0.702  0.250  0.559
H  0.000  0.000  0.500
H  0.000  0.500  0.500
Nd  0.791  0.750  0.931
Nd  0.209  0.250  0.069

***

Entry b
This record from OQMD describes a relaxed structure of NdSiHO4. The functional is PBE.

Output
Its crystal system is orthorhombic. As for the calculated volume: 322.8 Å³ per cell. The value obtained for the size of the total moment is 0.0 Bohr magnetons per cell.

Lattice parameters (Å, degrees): 9.946 7.195 4.512 90.00 90.00 90.00
Atoms (fractional coordinates):
O  0.794  0.250  0.796
O  0.952  0.567  0.229
O  0.840  0.750  0.795
O  0.048  0.067  0.771
O  0.660  0.250  0.295
O  0.548  0.433  0.729
O  0.452  0.567  0.271
O  0.048  0.433  0.771
O  0.340  0.750  0.705
O  0.294  0.250  0.704
O  0.452  0.933  0.271
O  0.548  0.067  0.729
O  0.160  0.250  0.205
O  0.952  0.933  0.229
O  0.206  0.750  0.204
O  0.706  0.750  0.296
Si  0.855  0.750  0.153
Si  0.355  0.750  0.347
Si  0.645  0.250  0.653
Si  0.145  0.250  0.847
H  0.000  0.500  0.000
H  0.500  0.000  0.500
H  0.500  0.500  0.500
H  0.000  0.000  0.000
Nd  0.096  0.750  0.649
Nd  0.404  0.250  0.149
Nd  0.596  0.750  0.851
Nd  0.904  0.250  0.351

***

Entry c
This record from OQMD describes a relaxed structure of NdSiHO4. The functional is PBE.

Output
Its crystal system is trigonal. As for the calculated volume: 494.6 Å³ per cell. The value obtained for the size of the total moment is 0.0 Bohr magnetons per cell.

Lattice parameters (Å, degrees): 8.764 8.764 8.764 110.64 110.64 110.64
Atoms (fractional coordinates):
O  0.296  0.341  0.083
O  0.341  0.083  0.296
O  0.348  0.724  0.408
O  0.087  0.699  0.085
O  0.863  0.929  0.231
O  0.618  0.867  0.750
O  0.207  0.482  0.866
O  0.866  0.207  0.482
O  0.085  0.087  0.699
O  0.699  0.085  0.087
O  0.371  0.985  0.701
O  0.724  0.408  0.348
O  0.929  0.231  0.863
O  0.701  0.371  0.985
O  0.083  0.296  0.341
O  0.261  0.624  0.645
O  0.645  0.261  0.624
O  0.867  0.750  0.618
O  0.482  0.866  0.207
O  0.408  0.348  0.724
O  0.624  0.645  0.261
O  0.750  0.618  0.867
O  0.231  0.863  0.929
O  0.985  0.701  0.371
Si  0.382  0.794  0.622
Si  0.622  0.382  0.794
Si  0.794  0.622  0.382
Si  0.129  0.286  0.868
Si  0.286  0.868  0.129
Si  0.868  0.129  0.286
H  0.423  0.479  0.170
H  0.170  0.423  0.479
H  0.981  0.887  0.689
H  0.887  0.689  0.981
H  0.689  0.981  0.887
H  0.479  0.170  0.423
Nd  0.520  0.689  0.953
Nd  0.689  0.953  0.520
Nd  0.169  0.019  0.460
Nd  0.953  0.520  0.689
Nd  0.019  0.460  0.169
Nd  0.460  0.169  0.019

***

Most favorable structure: entry a. The second most favorable one is 26 meV per atom above it.

***

Entry a
This record from OQMD describes a relaxed structure of NdSiH2O4. The functional is PBE.

Output
Its crystal system is monoclinic. As for the calculated volume: 351.7 Å³ per cell. The value obtained for the size of the total moment is 3.4 Bohr magnetons per cell.

Lattice parameters (Å, degrees): 12.611 5.802 4.939 90.00 103.32 90.00
Atoms (fractional coordinates):
O  0.316  0.518  0.728
O  0.514  0.254  0.446
O  0.485  0.756  0.058
O  0.014  0.246  0.446
O  0.816  0.982  0.728
O  0.515  0.244  0.942
O  0.312  0.963  0.710
O  0.985  0.744  0.058
O  0.188  0.463  0.290
O  0.486  0.746  0.554
O  0.688  0.037  0.290
O  0.986  0.754  0.554
O  0.812  0.537  0.710
O  0.015  0.256  0.942
O  0.684  0.482  0.272
O  0.184  0.018  0.272
H  0.249  0.488  0.501
H  0.749  0.012  0.501
H  0.476  0.747  0.270
H  0.751  0.512  0.499
H  0.524  0.253  0.730
H  0.251  0.988  0.499
H  0.024  0.247  0.730
H  0.976  0.753  0.270
Si  0.100  0.241  0.249
Si  0.600  0.259  0.249
Si  0.900  0.759  0.751
Si  0.400  0.741  0.751
Nd  0.343  0.231  0.111
Nd  0.657  0.769  0.889
Nd  0.157  0.731  0.889
Nd  0.843  0.269  0.111

***

Entry b
This record from OQMD describes a relaxed structure of NdSiH2O4. The functional is PBE.

Output
Its crystal system is tetragonal. As for the calculated volume: 181.7 Å³ per cell. The value obtained for the size of the total moment is 0.0 Bohr magnetons per cell.

Lattice parameters (Å, degrees): 6.261 6.261 6.261 96.35 116.41 116.41
Atoms (fractional coordinates):
O  0.318  0.703  0.386
O  0.818  0.136  0.953
O  0.683  0.615  0.297
O  0.682  0.068  0.385
O  0.183  0.047  0.865
O  0.817  0.682  0.864
O  0.317  0.614  0.932
O  0.182  0.135  0.318
H  0.000  0.225  0.225
H  0.500  0.525  0.025
H  0.500  0.975  0.475
H  0.000  0.775  0.775
Si  0.500  0.750  0.250
Si  0.000  0.000  0.000
Nd  0.000  0.500  0.500
Nd  0.500  0.250  0.750

***

Most favorable structure: entry a. The second most favorable one is 345 meV per atom above it.

***

Entry a
This record from OQMD describes a relaxed structure of Ni3H. The functional is PBE.

Output
Its crystal system is tetragonal. As for the calculated volume: 38.0 Å³ per cell. The value obtained for the size of the total moment is 1.2 Bohr magnetons per cell.

Lattice parameters (Å, degrees): 4.024 4.024 4.024 129.38 129.38 74.40
Last column: magnetic moment on the atom in μB.
Atoms (fractional coordinates):
Ni  0.500  0.500  0.000  0.46
Ni  0.250  0.750  0.500  0.40
Ni  0.750  0.250  0.500  0.40
H  0.000  0.000  0.000  -0.01

***

Entry b
This record from OQMD describes a relaxed structure of Ni3H. The functional is PBE.

Output
Its crystal system is cubic. As for the calculated volume: 38.5 Å³ per cell. The value obtained for the size of the total moment is 2.2 Bohr magnetons per cell.

Lattice parameters (Å, degrees): 3.378 3.378 3.378 90.00 90.00 90.00
Last column: magnetic moment on the atom in μB.
Atoms (fractional coordinates):
H  0.000  0.000  0.000  0.02
Ni  0.500  0.000  0.500  0.75
Ni  0.000  0.500  0.500  0.46
Ni  0.500  0.500  0.000  0.99

***

Most favorable structure: entry a. The second most favorable one is 62 meV per atom above it.

***

Entry a
This record from OQMD describes a relaxed structure of Ni3H. The functional is PBE.

Output
Its crystal system is hexagonal. As for the calculated volume: 75.7 Å³ per cell. The value obtained for the size of the total moment is 3.5 Bohr magnetons per cell.

Lattice parameters (Å, degrees): 4.880 4.880 3.671 90.00 90.00 120.00
Atoms (fractional coordinates):
Ni  0.174  0.347  0.250
Ni  0.826  0.174  0.750
Ni  0.826  0.653  0.750
Ni  0.653  0.826  0.250
Ni  0.347  0.174  0.750
Ni  0.174  0.826  0.250
H  0.333  0.667  0.750
H  0.667  0.333  0.250

***

Entry b
This record from OQMD describes a relaxed structure of Ni3H. The functional is PBE.

Output
Its crystal system is cubic. As for the calculated volume: 38.1 Å³ per cell. The value obtained for the size of the total moment is 1.0 Bohr magnetons per cell.

Lattice parameters (Å, degrees): 3.776 3.776 3.776 60.00 60.00 60.00
Last column: magnetic moment on the atom in μB.
Atoms (fractional coordinates):
Ni  0.000  0.000  0.000  0.32
Ni  0.500  0.500  0.500  0.32
Ni  0.250  0.250  0.250  0.41
H  0.750  0.750  0.750  -0.01

***

Most favorable structure: entry a. The second most favorable one is 25 meV per atom above it.